1.
A relaxed structure of UTi2As. Source: the Alexandria database, functional GGA-PBE.

Lattice parameters (Å, degrees): 4.3546 4.3546 3.6354 90.00 90.00 90.00
Closest atoms and distances in Å follow each position.
Space group P4/mmm (No. 123)
Asymmetric unit:
U: 0.0000 0.0000 0.0000 (multiplicity 1)  8 Ti 2.84, 4 As 3.08
Ti: 0.0000 0.5000 0.5000 (multiplicity 2)  4 As 2.84, 4 U 2.84, 4 Ti 3.08
As: 0.5000 0.5000 0.0000 (multiplicity 1)  8 Ti 2.84, 4 U 3.08

Values from the calculation:
magnetization: 2.09 μB per cell
ΔE_f: -0.30 eV/atom

***

2.
A relaxed structure of LiVSeS. Source: the Alexandria database, functional GGA-PBE.

Lattice parameters (Å, degrees): 3.4023 3.4023 19.7558 90.00 90.00 120.00
Closest atoms and distances in Å follow each position.
Space group R3m (No. 160, hexagonal axes)
Asymmetric unit:
Li: 0.0000 0.0000 0.0000 (multiplicity 3)  3 S 2.57, 3 Se 2.77
V: 0.0000 0.0000 0.8205 (multiplicity 3)  3 S 2.41, 3 Se 2.52
Se: 0.0000 0.0000 0.2341 (multiplicity 3)  3 V 2.52, 3 Li 2.77
S: 0.0000 0.0000 0.4169 (multiplicity 3)  3 V 2.41, 3 Li 2.57

Values from the calculation:
magnetization: 0.00 μB per cell
formation energy (no corrections): -0.91 eV per atom

***

3.
A relaxed structure of LaS2O. Source: the Alexandria database, functional GGA-PBE.

Lattice parameters (Å, degrees): 4.4758 4.4758 18.7788 90.00 90.00 120.00
Closest atoms and distances in Å follow each position.
Space group R-3m (No. 166, hexagonal axes)
Asymmetric unit:
La: 0.0000 0.0000 0.0000 (multiplicity 3)  6 S 2.90
S: 0.0000 0.0000 0.4029 (multiplicity 6)  1 O 1.82
O: 0.0000 0.0000 0.5000 (multiplicity 3)  2 S 1.82

Values from the calculation:
magnetization: 0.00 μB per cell
formation energy (no corrections): -0.90 eV per atom